Entry 1:
A plane-wave DFT calculation with PBE was carried out for a relaxed Pr6Nd2Hg crystal.

The structure belongs to space group Pnnm (No. 58); the cell edges are 10.4971, 10.5420 and 5.5908 Å and the angles 90.00°, 90.00° and 90.00°. The distinct sites, in fractional coordinates, are Pr at (0.0373, 0.1837, 0.0000), Pr at (0.1275, 0.6218, 0.5000), Pr at (0.1831, 0.9541, 0.5000), Nd at (0.2134, 0.2784, 0.5000) and Hg at (0.0000, 0.5000, 0.0000).

As for the size of the total moment: 0.00 μB/atom. For the formation enthalpy at 0 K, the calculation gives -0.04 eV per atom. Its total DFT energy (no corrections) is -77.8 eV per cell. The calculation puts the excess energy over the best structure of this formula in the dataset at 0.48 eV per formula unit. Its crystal system is orthorhombic.



Entry 2:
A plane-wave DFT calculation with PBE was carried out for a relaxed Pr5NdHg crystal.

The structure belongs to space group C2/c (No. 15); the cell edges are 8.9619, 8.6507 and 12.6718 Å and the angles 90.00°, 102.41° and 90.00°. The distinct sites, in fractional coordinates, are Pr at (0.0000, 0.0279, 0.2500), Pr at (0.1479, 0.3632, 0.0667), Pr at (0.2162, 0.3271, 0.3652), Nd at (0.0000, 0.3605, 0.7500) and Hg at (0.0000, 0.0000, 0.0000).

As for the size of the total moment: 0.00 μB/atom. For the formation enthalpy at 0 K, the calculation gives -0.04 eV per atom. Its total DFT energy (no corrections) is -117.0 eV per cell. Its crystal system is monoclinic.



Entry 3:
A plane-wave DFT calculation with PBE was carried out for a relaxed PrNd2Hg8 crystal.

The structure belongs to space group Immm (No. 71); the cell edges are 5.2521, 7.4497 and 15.0132 Å and the angles 90.00°, 90.00° and 90.00°. The distinct sites, in fractional coordinates, are Pr at (0.0000, 0.0000, 0.0000), Nd at (0.0000, 0.0000, 0.3097), Hg at (0.0000, 0.2113, 0.5000), Hg at (0.0000, 0.2872, 0.1492) and Hg at (0.0000, 0.5000, 0.3420).

As for the size of the total moment: 0.00 μB/atom. For the formation enthalpy at 0 K, the calculation gives -0.35 eV per atom. Its total DFT energy (no corrections) is -41.1 eV per cell. The calculation puts the excess energy over the best structure of this formula in the dataset at 0.12 eV per formula unit. Its crystal system is orthorhombic.



Entry 4:
A plane-wave DFT calculation with PBE was carried out for a relaxed PrNd6Hg3 crystal.

The structure belongs to space group Cmc2_1 (No. 36); the cell edges are 13.2032, 13.4417 and 7.2527 Å and the angles 90.00°, 90.00° and 90.00°. The distinct sites, in fractional coordinates, are Pr at (0.0000, 0.1948, 0.0000), Nd at (0.0000, 0.2170, 0.4727), Nd at (0.0000, 0.4495, 0.8931), Nd at (0.2040, 0.0185, 0.4720), Nd at (0.2119, 0.2918, 0.6745), Hg at (0.0000, 0.0137, 0.7234) and Hg at (0.1314, 0.3770, 0.2396).

As for the size of the total moment: 0.00 μB/atom. For the formation enthalpy at 0 K, the calculation gives -0.20 eV per atom. Its total DFT energy (no corrections) is -145.1 eV per cell. Its crystal system is orthorhombic.



Entry 5:
A plane-wave DFT calculation with PBE was carried out for a relaxed Pr2NdHg4 crystal.

The structure belongs to space group I4/mmm (No. 139); the cell edges are 5.8743, 5.8743 and 12.5294 Å and the angles 90.00°, 90.00° and 90.00°. The distinct sites, in fractional coordinates, are Pr at (0.0000, 0.0000, 0.1418), Nd at (0.0000, 0.0000, 0.5000), Hg at (0.0000, 0.5000, 0.0000) and Hg at (0.0000, 0.5000, 0.2500).

As for the size of the total moment: 0.00 μB/atom. For the formation enthalpy at 0 K, the calculation gives -0.24 eV per atom. Its total DFT energy (no corrections) is -34.4 eV per cell. The calculation puts the excess energy over the best structure of this formula in the dataset at 0.70 eV per formula unit. Its crystal system is tetragonal.



Entry 6:
A plane-wave DFT calculation with PBE was carried out for a relaxed Pr4NdHg crystal.

The structure belongs to space group P4/mmm (No. 123); the cell edges are 3.7453, 3.7453 and 14.4004 Å and the angles 90.00°, 90.00° and 90.00°. The distinct sites, in fractional coordinates, are Pr at (0.0000, 0.0000, 0.1415), Pr at (0.5000, 0.5000, 0.3208), Nd at (0.0000, 0.0000, 0.5000) and Hg at (0.5000, 0.5000, 0.0000).

As for the size of the total moment: 0.00 μB/atom. For the formation enthalpy at 0 K, the calculation gives -0.15 eV per atom. Its total DFT energy (no corrections) is -25.1 eV per cell. The calculation puts the excess energy over the best structure of this formula in the dataset at 0.00 eV per formula unit. Its crystal system is tetragonal.



Entry 7:
A plane-wave DFT calculation with PBE was carried out for a relaxed Pr8NdHg2 crystal.

The structure belongs to space group C2/m (No. 12); the cell edges are 9.0580, 15.3553 and 5.8587 Å and the angles 90.00°, 111.05° and 90.00°. The distinct sites, in fractional coordinates, are Pr at (0.0000, 0.2267, 0.0000), Pr at (0.0990, 0.5000, 0.8006), Pr at (0.2028, 0.1134, 0.6030), Nd at (0.0000, 0.0000, 0.0000) and Hg at (0.0000, 0.3063, 0.5000).

As for the size of the total moment: 0.00 μB/atom. For the formation enthalpy at 0 K, the calculation gives -0.07 eV per atom. Its total DFT energy (no corrections) is -88.7 eV per cell. Its crystal system is monoclinic.



Entry 8:
A plane-wave DFT calculation with PBE was carried out for a relaxed Pr5Nd12Hg2 crystal.

The structure belongs to space group C2/m (No. 12); the cell edges are 15.7637, 9.4855 and 8.7114 Å and the angles 90.00°, 93.73° and 90.00°. The distinct sites, in fractional coordinates, are Pr at (0.0000, 0.0000, 0.0000), Pr at (0.1883, 0.5000, 0.5071), Pr at (0.2346, 0.0000, 0.0825), Nd at (0.0547, 0.5000, 0.8116), Nd at (0.0788, 0.0000, 0.3836), Nd at (0.1232, 0.3073, 0.1622), Nd at (0.1466, 0.1834, 0.7361) and Hg at (0.0000, 0.3138, 0.5000).

As for the size of the total moment: 0.00 μB/atom. For the formation enthalpy at 0 K, the calculation gives -0.01 eV per atom. Its total DFT energy (no corrections) is -163.6 eV per cell. Its crystal system is monoclinic.